Record 1
CoIr3: single point on PBEsol structure, SCAN.

The structure in POSCAR format:
```
CoIr3
1.0
2.692 0.000 0.000
-1.346 2.332 0.000
0.000 0.000 8.488
Co Ir
1 3
Direct
0.000 0.000 0.000 Co
0.000 0.000 0.500 Ir
0.667 0.333 0.238 Ir
0.667 0.333 0.762 Ir
```

Output
energy of formation: 0.05 eV/atom
electronic total energy: -57.60 eV/atom


Record 2
TcOsPb2: single point on PBEsol structure, SCAN.

The structure in POSCAR format:
```
TcOsPb2
1.0
-1.616 2.679 4.405
1.616 -2.679 4.405
1.616 2.679 -4.405
Tc Os Pb
1 1 2
Direct
0.000 0.000 0.000 Tc
0.500 0.500 0.000 Os
0.250 0.750 0.500 Pb
0.750 0.250 0.500 Pb
```

Output
energy of formation: 1.15 eV/atom
ΔE to the lowest computed polymorph: 286 meV/atom
electronic total energy: -63.47 eV/atom


Record 3
RbCuOs2Pb: single point on PBEsol structure, SCAN.

The structure in POSCAR format:
```
RbCuOs2Pb
1.0
4.773 0.000 0.000
0.000 4.773 0.000
0.000 0.000 5.577
Rb Cu Os Pb
1 1 2 1
Direct
0.000 0.000 0.000 Rb
0.500 0.500 0.500 Cu
0.000 0.500 0.000 Os
0.500 0.000 0.000 Os
0.000 0.000 0.500 Pb
```

Output
energy of formation: 3.64 eV/atom
electronic total energy: -47.45 eV/atom


Record 4
Hg2SbC: single point on PBEsol structure, SCAN.

The structure in POSCAR format:
```
Hg2SbC
1.0
-3.122 3.122 4.690
3.122 -3.122 4.690
3.122 3.122 -4.690
Hg Sb C
4 2 2
Direct
0.016 0.625 0.891 Hg
0.375 0.266 0.391 Hg
0.734 0.125 0.109 Hg
0.875 0.984 0.609 Hg
0.250 0.750 0.500 Sb
0.500 0.500 0.000 Sb
0.000 0.000 0.000 C
0.750 0.250 0.500 C
```

Output
electronic total energy: -44.76 eV/atom


Record 5
BaLaCrAg2: single point on PBEsol structure, SCAN.

The structure in POSCAR format:
```
BaLaCrAg2
1.0
5.544 0.000 0.000
0.000 5.544 0.000
0.000 0.000 5.520
Ba La Cr Ag
1 1 1 2
Direct
0.000 0.000 0.000 Ba
0.500 0.500 0.500 La
0.000 0.000 0.500 Cr
0.000 0.500 0.000 Ag
0.500 0.000 0.000 Ag
```

Output
energy of formation: 0.93 eV/atom
electronic total energy: -31.82 eV/atom


Record 6
Rh2CN: single point on PBEsol structure, SCAN.

The structure in POSCAR format:
```
Rh2CN
1.0
0.000 2.666 2.666
2.666 0.000 2.666
2.666 2.666 0.000
Rh C N
2 1 1
Direct
0.250 0.250 0.250 Rh
0.750 0.750 0.750 Rh
0.000 0.000 0.000 C
0.500 0.500 0.500 N
```

Output
electronic total energy: -20.36 eV/atom


Record 7
NaH6BrO5: single point on PBEsol structure, SCAN.

The structure in POSCAR format:
```
NaH6BrO5
1.0
5.358 0.000 0.000
2.144 6.069 0.000
0.648 2.844 8.211
Na H Br O
2 12 2 10
Direct
0.228 0.045 0.097 Na
0.772 0.955 0.903 Na
0.101 0.925 0.647 H
0.114 0.822 0.438 H
0.204 0.170 0.750 H
0.248 0.589 0.069 H
0.303 0.379 0.748 H
0.364 0.734 0.915 H
0.636 0.266 0.085 H
0.697 0.621 0.252 H
0.752 0.411 0.931 H
0.796 0.830 0.250 H
0.886 0.178 0.562 H
0.899 0.075 0.353 H
0.390 0.322 0.385 Br
0.610 0.678 0.615 Br
0.004 0.079 0.662 O
0.218 0.752 0.991 O
0.287 0.665 0.617 O
0.328 0.211 0.807 O
0.333 0.320 0.192 O
0.667 0.680 0.808 O
0.672 0.789 0.193 O
0.713 0.335 0.383 O
0.782 0.248 0.009 O
0.996 0.921 0.338 O
```

Output
electronic total energy: -6.76 eV/atom


Record 8
Fe3ReBi: single point on PBEsol structure, SCAN.

The structure in POSCAR format:
```
Fe3ReBi
1.0
4.505 0.000 0.000
0.000 4.505 0.000
0.000 0.000 4.505
Fe Re Bi
3 1 1
Direct
0.000 0.000 0.500 Fe
0.000 0.500 0.000 Fe
0.500 0.000 0.000 Fe
0.000 0.000 0.000 Re
0.500 0.500 0.500 Bi
```

Output
energy of formation: 1.36 eV/atom
electronic total energy: -39.45 eV/atom


Record 9
CaMnP2: single point on PBEsol structure, SCAN.

The structure in POSCAR format:
```
CaMnP2
1.0
20.329 0.000 0.000
0.000 3.556 0.000
0.000 0.000 3.729
Ca Mn P
4 4 8
Direct
0.113 0.250 0.207 Ca
0.387 0.750 0.707 Ca
0.613 0.250 0.293 Ca
0.887 0.750 0.793 Ca
0.248 0.750 0.206 Mn
0.252 0.250 0.706 Mn
0.748 0.750 0.294 Mn
0.752 0.250 0.794 Mn
0.003 0.250 0.694 P
0.184 0.750 0.706 P
0.316 0.250 0.206 P
0.497 0.750 0.194 P
0.503 0.250 0.806 P
0.684 0.750 0.794 P
0.816 0.250 0.294 P
0.997 0.750 0.306 P
```

Output
energy of formation: -0.85 eV/atom
ΔE to the lowest computed polymorph: 5 meV/atom
electronic total energy: -13.03 eV/atom


Record 10
LiCd2In: single point on PBEsol structure, SCAN.

The structure in POSCAR format:
```
LiCd2In
1.0
1.576 0.910 9.751
-1.576 0.910 9.751
0.000 -1.820 9.751
Li Cd In
1 2 1
Direct
0.000 0.000 0.000 Li
0.257 0.257 0.257 Cd
0.743 0.743 0.743 Cd
0.500 0.500 0.500 In
```

Output
energy of formation: -0.08 eV/atom
electronic total energy: -24.23 eV/atom


Record 11
HoBi2BrO4: single point on PBEsol structure, SCAN.

The structure in POSCAR format:
```
HoBi2BrO4
1.0
3.855 0.000 0.000
0.000 3.855 0.000
0.000 0.000 9.072
Ho Bi Br O
1 2 1 4
Direct
0.000 0.000 0.000 Ho
0.500 0.500 0.273 Bi
0.500 0.500 0.727 Bi
0.000 0.000 0.500 Br
0.000 0.500 0.149 O
0.000 0.500 0.851 O
0.500 0.000 0.149 O
0.500 0.000 0.851 O
```

Output
electronic total energy: -33.40 eV/atom


Record 12
K2LaSi: single point on PBEsol structure, SCAN.

The structure in POSCAR format:
```
K2LaSi
1.0
3.328 0.000 0.000
0.000 3.328 0.000
0.000 0.000 12.503
K La Si
2 1 1
Direct
0.000 0.000 0.194 K
0.000 0.000 0.806 K
0.500 0.500 0.500 La
0.500 0.500 0.000 Si
```

Output
electronic total energy: -16.89 eV/atom


Record 13
ScAgOs2: single point on PBEsol structure, SCAN.

The structure in POSCAR format:
```
ScAgOs2
1.0
-1.922 1.922 4.250
1.922 -1.922 4.250
1.922 1.922 -4.250
Sc Ag Os
1 1 2
Direct
0.000 0.000 0.000 Sc
0.500 0.500 0.000 Ag
0.250 0.750 0.500 Os
0.750 0.250 0.500 Os
```

Output
energy of formation: 0.29 eV/atom
ΔE to the lowest computed polymorph: 151 meV/atom
electronic total energy: -47.05 eV/atom


Record 14
Al2As2Os: single point on PBEsol structure, SCAN.

The structure in POSCAR format:
```
Al2As2Os
1.0
6.804 0.000 0.000
0.000 6.804 0.000
0.000 0.000 3.483
Al As Os
4 4 2
Direct
0.142 0.358 0.000 Al
0.358 0.858 0.000 Al
0.642 0.142 0.000 Al
0.858 0.642 0.000 Al
0.166 0.666 0.500 As
0.334 0.166 0.500 As
0.666 0.834 0.500 As
0.834 0.334 0.500 As
0.000 0.000 0.500 Os
0.500 0.500 0.500 Os
```

Output
energy of formation: 0.34 eV/atom
electronic total energy: -25.21 eV/atom


Record 15
KCa2Fe: single point on PBEsol structure, SCAN.

The structure in POSCAR format:
```
KCa2Fe
1.0
4.138 0.000 0.000
0.000 3.872 0.000
-2.057 0.000 9.240
K Ca Fe
1 2 1
Direct
0.000 0.000 0.000 K
0.312 0.000 0.629 Ca
0.682 0.500 0.366 Ca
0.838 0.500 0.681 Fe
```

Output
energy of formation: 0.51 eV/atom
ΔE to the lowest computed polymorph: 0 meV/atom
electronic total energy: -10.94 eV/atom


Record 16
SrHfSi2: single point on PBEsol structure, SCAN.

The structure in POSCAR format:
```
SrHfSi2
1.0
0.000 3.457 3.457
3.457 0.000 3.457
3.457 3.457 0.000
Sr Hf Si
1 1 2
Direct
0.000 0.000 0.000 Sr
0.500 0.500 0.500 Hf
0.250 0.250 0.250 Si
0.750 0.750 0.750 Si
```

Output
electronic total energy: -26.11 eV/atom


Record 17
K2LiPrI6: single point on PBEsol structure, SCAN.

The structure in POSCAR format:
```
K2LiPrI6
1.0
0.000 5.945 5.945
5.945 0.000 5.945
5.945 5.945 0.000
K Li Pr I
2 1 1 6
Direct
0.250 0.250 0.250 K
0.750 0.750 0.750 K
0.000 0.000 0.000 Li
0.500 0.500 0.500 Pr
0.242 0.242 0.758 I
0.242 0.758 0.242 I
0.242 0.758 0.758 I
0.758 0.242 0.242 I
0.758 0.242 0.758 I
0.758 0.758 0.242 I
```

Output
electronic total energy: -29.77 eV/atom


Record 18
BaCaFe2: single point on PBEsol structure, SCAN.

The structure in POSCAR format:
```
BaCaFe2
1.0
5.154 0.000 0.000
0.000 5.154 0.000
0.000 0.000 3.497
Ba Ca Fe
1 1 2
Direct
0.000 0.000 0.000 Ba
0.500 0.500 0.000 Ca
0.000 0.500 0.500 Fe
0.500 0.000 0.500 Fe
```

Output
energy of formation: 0.79 eV/atom
ΔE to the lowest computed polymorph: 0 meV/atom
electronic total energy: -20.58 eV/atom


Record 19
Ba4Si23: single point on PBEsol structure, SCAN.

The structure in POSCAR format:
```
Ba4Si23
1.0
10.301 0.000 0.000
0.000 10.301 0.000
0.000 0.000 10.301
Ba Si
8 46
Direct
0.000 0.000 0.000 Ba
0.000 0.250 0.500 Ba
0.000 0.750 0.500 Ba
0.250 0.500 0.000 Ba
0.500 0.000 0.250 Ba
0.500 0.000 0.750 Ba
0.500 0.500 0.500 Ba
0.750 0.500 0.000 Ba
0.000 0.307 0.120 Si
0.000 0.307 0.880 Si
0.000 0.500 0.250 Si
0.000 0.500 0.750 Si
0.000 0.693 0.120 Si
0.000 0.693 0.880 Si
0.120 0.000 0.307 Si
0.120 0.000 0.693 Si
0.185 0.185 0.185 Si
0.185 0.185 0.815 Si
0.185 0.815 0.185 Si
0.185 0.815 0.815 Si
0.193 0.500 0.380 Si
0.193 0.500 0.620 Si
0.250 0.000 0.500 Si
0.307 0.120 0.000 Si
0.307 0.880 0.000 Si
0.315 0.315 0.315 Si
0.315 0.315 0.685 Si
0.315 0.685 0.315 Si
0.315 0.685 0.685 Si
0.380 0.193 0.500 Si
0.380 0.807 0.500 Si
0.500 0.250 0.000 Si
0.500 0.380 0.193 Si
0.500 0.380 0.807 Si
0.500 0.620 0.193 Si
0.500 0.620 0.807 Si
0.500 0.750 0.000 Si
0.620 0.193 0.500 Si
0.620 0.807 0.500 Si
0.685 0.315 0.315 Si
0.685 0.315 0.685 Si
0.685 0.685 0.315 Si
0.685 0.685 0.685 Si
0.693 0.120 0.000 Si
0.693 0.880 0.000 Si
0.750 0.000 0.500 Si
0.807 0.500 0.380 Si
0.807 0.500 0.620 Si
0.815 0.185 0.185 Si
0.815 0.185 0.815 Si
0.815 0.815 0.185 Si
0.815 0.815 0.815 Si
0.880 0.000 0.307 Si
0.880 0.000 0.693 Si
```

Output
electronic total energy: -14.48 eV/atom


Record 20
Y4In: single point on PBEsol structure, SCAN.

The structure in POSCAR format:
```
Y4In
1.0
-3.844 3.844 2.355
3.844 -3.844 2.355
3.844 3.844 -2.355
Y In
4 1
Direct
0.107 0.703 0.810 Y
0.297 0.107 0.404 Y
0.703 0.893 0.596 Y
0.893 0.297 0.190 Y
0.500 0.500 0.000 In
```

Output
energy of formation: -0.23 eV/atom
electronic total energy: -29.18 eV/atom